Below is a geometry-optimized Ac2LaNd2Dy structure, with properties calculated at the PBE-GGA level.

abc: 7.4066 5.9684 10.3181
angles: 90.00 90.00 90.00
Space group Pmma (No. 51)
One atom of each set of equivalent atoms:
Ac  0.0000  0.0000  0.0000
Ac  0.2500  0.5000  0.1719
La  0.0000  0.5000  0.5000
Nd  0.2500  0.0000  0.3418
Nd  0.2500  0.5000  0.8263
Dy  0.2500  0.0000  0.6648

* energy of formation from the pure elements: 0.07 eV per atom
* DOS at the Fermi energy: 18.139 states/eV per cell

Below is a geometry-optimized HgOs3Cl structure, with properties calculated at the PBE-GGA level.

abc: 5.0901 5.0901 5.0901
angles: 90.00 90.00 90.00
Space group Pm-3m (No. 221)
One atom of each set of equivalent atoms:
Hg  0.0000  0.0000  0.0000
Os  0.0000  0.0000  0.5000
Cl  0.5000  0.5000  0.5000

* energy relative to the lowest polymorph listed for this composition: 1293.9 meV per atom
* formation energy without anion corrections: 3.268 eV per atom
* DOS at the Fermi energy: 3.488 states/eV per cell

Below is a geometry-optimized Sb2MoCI structure, with properties calculated at the PBE-GGA level.

abc: 5.1940 5.1940 5.6050
angles: 90.00 90.00 90.00
Space group P4/mmm (No. 123)
One atom of each set of equivalent atoms:
Sb  0.0000  0.5000  0.0000
Mo  0.0000  0.0000  0.0000
C  0.5000  0.5000  0.5000
I  0.0000  0.0000  0.5000

* energy relative to the lowest polymorph listed for this composition: 309.6 meV per atom
* formation energy without anion corrections: 1.785 eV per atom
* DOS at the Fermi energy: 5.613 states/eV per cell

Below is a geometry-optimized InGa2Se structure, with properties calculated at the PBE-GGA level.

abc: 7.1968 7.1968 7.1968
angles: 90.00 90.00 90.00
Space group Fm-3m (No. 225)
One atom of each set of equivalent atoms:
In  0.0000  0.0000  0.0000
Ga  0.2500  0.2500  0.2500
Se  0.0000  0.0000  0.5000

* energy relative to the lowest polymorph listed for this composition: 171.9 meV per atom
* formation energy without anion corrections: 0.049 eV per atom
* DOS at the Fermi energy: 14.481 states/eV per cell

Below is a geometry-optimized TlBI3 structure, with properties calculated at the PBE-GGA level.

abc: 6.1101 6.1101 6.1101
angles: 90.00 90.00 90.00
Space group Pm-3m (No. 221)
One atom of each set of equivalent atoms:
Tl  0.0000  0.0000  0.0000
B  0.5000  0.5000  0.5000
I  0.0000  0.0000  0.5000

* energy relative to the lowest polymorph listed for this composition: 1232.6 meV per atom
* formation energy without anion corrections: 0.955 eV per atom
* DOS at the Fermi energy: 2.676 states/eV per cell

Below is a geometry-optimized Tb3PmTmSc structure, with properties calculated at the PBE-GGA level.

abc: 4.9554 14.8892 9.9779
angles: 90.00 90.00 90.00
Space group Cmcm (No. 63)
One atom of each set of equivalent atoms:
Tb  0.0000  0.1671  0.0006
Tb  0.0000  0.3309  0.2500
Pm  0.0000  0.0029  0.2500
Tm  0.0000  0.5000  0.0000
Sc  0.0000  0.3322  0.7500

* energy of formation from the pure elements: 0.04 eV per atom
* DOS at the Fermi energy: 35.115 states/eV per cell

Below is a geometry-optimized Fe3C structure, with properties calculated at the PBE-GGA level.

abc: 2.8109 2.7796 5.3673
angles: 90.00 104.68 90.00
Space group P2/m (No. 10)
One atom of each set of equivalent atoms:
Fe  0.0000  0.0000  0.0000
Fe  0.3368  0.5000  0.7085
C  0.0000  0.0000  0.5000

* energy of formation from the pure elements: 0.32 eV per atom
* DOS at the Fermi energy: 2.300 states/eV per cell

Below is a geometry-optimized Zr2Sc6Ag structure, with properties calculated at the PBE-GGA level.

abc: 8.5275 8.5275 3.3001
angles: 90.00 90.00 120.00
Space group P-62m (No. 189)
One atom of each set of equivalent atoms:
Zr  0.3333  0.6667  0.0000
Sc  0.0000  0.3812  0.5000
Sc  0.0000  0.7194  0.0000
Ag  0.0000  0.0000  0.5000

* energy of formation from the pure elements: -0.07 eV per atom
* DOS at the Fermi energy: 11.057 states/eV per cell

Please write out number 5 again, unchanged.
Below is a geometry-optimized TlBI3 structure, with properties calculated at the PBE-GGA level.

abc: 6.1101 6.1101 6.1101
angles: 90.00 90.00 90.00
Space group Pm-3m (No. 221)
One atom of each set of equivalent atoms:
Tl  0.0000  0.0000  0.0000
B  0.5000  0.5000  0.5000
I  0.0000  0.0000  0.5000

* energy relative to the lowest polymorph listed for this composition: 1232.6 meV per atom
* formation energy without anion corrections: 0.955 eV per atom
* DOS at the Fermi energy: 2.676 states/eV per cell

Question: DOS at the Fermi energy of number 8 (Zr2Sc6Ag)?
Answer: 11.057 states/eV per cell

Question: What is the DOS at the Fermi energy in the first record?
Answer: 18.139 states/eV per cell